[1]
Below is a geometry-optimized NpU2CrN5 structure, with properties calculated at the PBE level.

Geometry as POSCAR:
```
NpU2CrN5
1.0
-0.908 4.931 -3.949
-5.218 1.664 3.277
6.116 -0.130 3.589
N U Np Cr
10 4 2 2
Cartesian
4.130 0.932 1.814
-1.703 5.637 -1.286
2.685 3.714 0.462
-3.063 3.297 -0.336
0.248 3.609 2.850
-0.258 2.855 0.067
0.000 0.000 0.000
-2.695 2.751 2.455
-4.139 5.532 1.103
1.693 0.828 4.203
-1.483 3.573 -2.087
-4.241 5.214 -1.097
-4.643 3.022 1.415
-1.885 1.381 0.425
1.527 1.584 1.626
-1.536 4.881 1.290
-1.082 2.416 3.265
1.073 4.049 -0.348
```

Output
Magnetic moment ... 5.493 μB per formula unit
SG ... No. 140
Electronic total energy ... -192.73 eV/cell

---

[2]
Below is a geometry-optimized NpZn2CrN4 structure, with properties calculated at the PBE level.

Geometry as POSCAR:
```
NpZn2CrN4
1.0
4.999 0.047 0.000
-0.367 4.985 0.000
-2.316 -2.516 4.102
N Zn Np Cr
4 2 1 1
Cartesian
-1.047 -1.138 3.024
1.159 3.580 0.911
3.472 1.452 0.911
1.047 1.138 3.024
-0.184 2.493 2.115
2.499 0.024 2.115
0.000 0.000 0.257
0.000 0.000 4.054
```

Output
Magnetic moment ... 4.988 μB per formula unit
SG ... No. 42
Electronic total energy ... -61.02 eV/cell